Record 1
Compound: Nd2CuNi4Ge3
Source: the Alexandria database
Functional: PBE
Structure: optimized geometry

Summary:
SG: P-4m2 (115)
Energy of formation from the pure elements in eV/atom: -0.589

Lattice parameters (Å, degrees): 4.1653 4.1653 9.5867 90.00 90.00 90.00
Element x y z (fractional)
1 Nd 0.0000 0.5000 0.2466
2 Nd 0.5000 0.0000 0.7534
3 Cu 0.5000 0.5000 0.0000
4 Ni 0.0000 0.0000 0.5000
5 Ni 0.0000 0.5000 0.8730
6 Ni 0.5000 0.0000 0.1270
7 Ni 0.5000 0.5000 0.5000
8 Ge 0.0000 0.0000 0.0000
9 Ge 0.0000 0.5000 0.6265
10 Ge 0.5000 0.0000 0.3735

---

Record 2
Compound: Pm12Ho3Th
Source: the Alexandria database
Functional: PBE
Structure: optimized geometry

Summary:
SG: P4/mmm (123)
Energy of formation from the pure elements in eV/atom: 0.026

Lattice parameters (Å, degrees): 5.1248 5.1248 20.4782 90.00 90.00 90.00
Element x y z (fractional)
1 Pm 0.0000 0.0000 0.0000
2 Pm 0.0000 0.0000 0.2478
3 Pm 0.0000 0.0000 0.5000
4 Pm 0.0000 0.0000 0.7522
5 Pm 0.0000 0.5000 0.1251
6 Pm 0.0000 0.5000 0.3762
7 Pm 0.0000 0.5000 0.6238
8 Pm 0.0000 0.5000 0.8749
9 Pm 0.5000 0.0000 0.1251
10 Pm 0.5000 0.0000 0.3762
11 Pm 0.5000 0.0000 0.6238
12 Pm 0.5000 0.0000 0.8749
13 Ho 0.5000 0.5000 0.0000
14 Ho 0.5000 0.5000 0.2496
15 Ho 0.5000 0.5000 0.7504
16 Th 0.5000 0.5000 0.5000

---

Record 3
Compound: LaAlSb
Source: the Alexandria database
Functional: PBE
Structure: optimized geometry

Summary:
SG: P-6m2 (187)
ΔE_f (raw) in eV per atom: -0.59

Lattice parameters (Å, degrees): 4.7851 4.7851 4.1200 90.00 90.00 120.00
Element x y z (fractional)
1 La 0.0000 0.0000 0.0000
2 Al 0.6667 0.3333 0.5000
3 Sb 0.3333 0.6667 0.5000

---

Record 4
Compound: Mg12Cu3H5
Source: the Alexandria database
Functional: PBE
Structure: optimized geometry

Summary:
SG: Ia-3d (230)

Lattice parameters (Å, degrees): 11.8718 11.8718 11.8718 109.47 109.47 109.47
Element x y z (fractional)
1 Mg 0.0247 0.2114 0.1189
2 Mg 0.0247 0.3133 0.9058
3 Mg 0.0925 0.7114 0.6867
4 Mg 0.0925 0.8811 0.4058
5 Mg 0.0942 0.6189 0.4075
6 Mg 0.0942 0.9753 0.6867
7 Mg 0.1189 0.0247 0.2114
8 Mg 0.1189 0.5942 0.9075
9 Mg 0.1867 0.2114 0.5925
10 Mg 0.1867 0.4753 0.5942
11 Mg 0.2114 0.1189 0.0247
12 Mg 0.2114 0.5925 0.1867
13 Mg 0.2886 0.3133 0.9075
14 Mg 0.2886 0.4753 0.3811
15 Mg 0.3133 0.9058 0.0247
16 Mg 0.3133 0.9075 0.2886
17 Mg 0.3811 0.2886 0.4753
18 Mg 0.3811 0.5925 0.9058
19 Mg 0.4058 0.0925 0.8811
20 Mg 0.4058 0.8133 0.5247
21 Mg 0.4075 0.0942 0.6189
22 Mg 0.4075 0.8133 0.7886
23 Mg 0.4753 0.3811 0.2886
24 Mg 0.4753 0.5942 0.1867
25 Mg 0.5247 0.4058 0.8133
26 Mg 0.5247 0.6189 0.7114
27 Mg 0.5925 0.1867 0.2114
28 Mg 0.5925 0.9058 0.3811
29 Mg 0.5942 0.1867 0.4753
30 Mg 0.5942 0.9075 0.1189
31 Mg 0.6189 0.4075 0.0942
32 Mg 0.6189 0.7114 0.5247
33 Mg 0.6867 0.0925 0.7114
34 Mg 0.6867 0.0942 0.9753
35 Mg 0.7114 0.5247 0.6189
36 Mg 0.7114 0.6867 0.0925
37 Mg 0.7886 0.4075 0.8133
38 Mg 0.7886 0.8811 0.9753
39 Mg 0.8133 0.5247 0.4058
40 Mg 0.8133 0.7886 0.4075
41 Mg 0.8811 0.4058 0.0925
42 Mg 0.8811 0.9753 0.7886
43 Mg 0.9058 0.0247 0.3133
44 Mg 0.9058 0.3811 0.5925
45 Mg 0.9075 0.1189 0.5942
46 Mg 0.9075 0.2886 0.3133
47 Mg 0.9753 0.6867 0.0942
48 Mg 0.9753 0.7886 0.8811
49 Cu 0.1250 0.2500 0.3750
50 Cu 0.1250 0.3750 0.7500
51 Cu 0.2500 0.3750 0.1250
52 Cu 0.2500 0.8750 0.6250
53 Cu 0.3750 0.1250 0.2500
54 Cu 0.3750 0.7500 0.1250
55 Cu 0.6250 0.2500 0.8750
56 Cu 0.6250 0.8750 0.7500
57 Cu 0.7500 0.1250 0.3750
58 Cu 0.7500 0.6250 0.8750
59 Cu 0.8750 0.6250 0.2500
60 Cu 0.8750 0.7500 0.6250
61 H 0.0000 0.0000 0.0000
62 H 0.0000 0.0000 0.5000
63 H 0.0000 0.5000 0.0000
64 H 0.0000 0.5000 0.5000
65 H 0.1250 0.7500 0.8750
66 H 0.1250 0.8750 0.2500
67 H 0.2500 0.1250 0.8750
68 H 0.2500 0.6250 0.3750
69 H 0.3750 0.2500 0.6250
70 H 0.3750 0.6250 0.7500
71 H 0.5000 0.0000 0.0000
72 H 0.5000 0.0000 0.5000
73 H 0.5000 0.5000 0.0000
74 H 0.5000 0.5000 0.5000
75 H 0.6250 0.3750 0.2500
76 H 0.6250 0.7500 0.3750
77 H 0.7500 0.3750 0.6250
78 H 0.7500 0.8750 0.1250
79 H 0.8750 0.1250 0.7500
80 H 0.8750 0.2500 0.1250

---

Record 5
Compound: Tl12As3Br5
Source: the Alexandria database
Functional: PBE
Structure: optimized geometry

Summary:
SG: Ia-3d (230)
ΔE_f (raw) in eV per atom: -0.22

Lattice parameters (Å, degrees): 16.2960 16.2960 16.2960 109.47 109.47 109.47
Element x y z (fractional)
1 Tl 0.0618 0.2245 0.1575
2 Tl 0.0618 0.3373 0.9043
3 Tl 0.0670 0.7245 0.6627
4 Tl 0.0670 0.8425 0.4043
5 Tl 0.0957 0.6575 0.4330
6 Tl 0.0957 0.9382 0.6627
7 Tl 0.1575 0.0618 0.2245
8 Tl 0.1575 0.5957 0.9330
9 Tl 0.1627 0.2245 0.5670
10 Tl 0.1627 0.4382 0.5957
11 Tl 0.2245 0.1575 0.0618
12 Tl 0.2245 0.5670 0.1627
13 Tl 0.2755 0.3373 0.9330
14 Tl 0.2755 0.4382 0.3425
15 Tl 0.3373 0.9043 0.0618
16 Tl 0.3373 0.9330 0.2755
17 Tl 0.3425 0.2755 0.4382
18 Tl 0.3425 0.5670 0.9043
19 Tl 0.4043 0.0670 0.8425
20 Tl 0.4043 0.8373 0.5618
21 Tl 0.4330 0.0957 0.6575
22 Tl 0.4330 0.8373 0.7755
23 Tl 0.4382 0.3425 0.2755
24 Tl 0.4382 0.5957 0.1627
25 Tl 0.5618 0.4043 0.8373
26 Tl 0.5618 0.6575 0.7245
27 Tl 0.5670 0.1627 0.2245
28 Tl 0.5670 0.9043 0.3425
29 Tl 0.5957 0.1627 0.4382
30 Tl 0.5957 0.9330 0.1575
31 Tl 0.6575 0.4330 0.0957
32 Tl 0.6575 0.7245 0.5618
33 Tl 0.6627 0.0670 0.7245
34 Tl 0.6627 0.0957 0.9382
35 Tl 0.7245 0.5618 0.6575
36 Tl 0.7245 0.6627 0.0670
37 Tl 0.7755 0.4330 0.8373
38 Tl 0.7755 0.8425 0.9382
39 Tl 0.8373 0.5618 0.4043
40 Tl 0.8373 0.7755 0.4330
41 Tl 0.8425 0.4043 0.0670
42 Tl 0.8425 0.9382 0.7755
43 Tl 0.9043 0.0618 0.3373
44 Tl 0.9043 0.3425 0.5670
45 Tl 0.9330 0.1575 0.5957
46 Tl 0.9330 0.2755 0.3373
47 Tl 0.9382 0.6627 0.0957
48 Tl 0.9382 0.7755 0.8425
49 As 0.1250 0.2500 0.3750
50 As 0.1250 0.3750 0.7500
51 As 0.2500 0.3750 0.1250
52 As 0.2500 0.8750 0.6250
53 As 0.3750 0.1250 0.2500
54 As 0.3750 0.7500 0.1250
55 As 0.6250 0.2500 0.8750
56 As 0.6250 0.8750 0.7500
57 As 0.7500 0.1250 0.3750
58 As 0.7500 0.6250 0.8750
59 As 0.8750 0.6250 0.2500
60 As 0.8750 0.7500 0.6250
61 Br 0.0000 0.0000 0.0000
62 Br 0.0000 0.0000 0.5000
63 Br 0.0000 0.5000 0.0000
64 Br 0.0000 0.5000 0.5000
65 Br 0.1250 0.7500 0.8750
66 Br 0.1250 0.8750 0.2500
67 Br 0.2500 0.1250 0.8750
68 Br 0.2500 0.6250 0.3750
69 Br 0.3750 0.2500 0.6250
70 Br 0.3750 0.6250 0.7500
71 Br 0.5000 0.0000 0.0000
72 Br 0.5000 0.0000 0.5000
73 Br 0.5000 0.5000 0.0000
74 Br 0.5000 0.5000 0.5000
75 Br 0.6250 0.3750 0.2500
76 Br 0.6250 0.7500 0.3750
77 Br 0.7500 0.3750 0.6250
78 Br 0.7500 0.8750 0.1250
79 Br 0.8750 0.1250 0.7500
80 Br 0.8750 0.2500 0.1250

---

Record 6
Compound: GaGeSe
Source: the Alexandria database
Functional: PBE
Structure: optimized geometry

Summary:
SG: Cm (8)
ΔE_f (raw) in eV per atom: -0.27

Lattice parameters (Å, degrees): 12.8244 3.9762 6.8295 90.00 110.50 90.00
Element x y z (fractional)
1 Ga 0.0000 0.0000 0.0000
2 Ga 0.2197 0.5000 0.4662
3 Ga 0.5000 0.5000 0.0000
4 Ga 0.7197 0.0000 0.4662
5 Ge 0.1970 0.0000 0.9624
6 Ge 0.2825 0.5000 0.8520
7 Ge 0.6970 0.5000 0.9624
8 Ge 0.7825 0.0000 0.8520
9 Se 0.0268 0.5000 0.2407
10 Se 0.3011 0.0000 0.3496
11 Se 0.5268 0.0000 0.2407
12 Se 0.8011 0.5000 0.3496

---

Record 7
Compound: Ac12NdPb7
Source: the Alexandria database
Functional: PBE
Structure: optimized geometry

Summary:
SG: R-3m (166)
Energy of formation from the pure elements in eV/atom: -0.268

Lattice parameters (Å, degrees): 10.3162 10.3162 10.3162 110.76 110.76 110.76
Element x y z (fractional)
1 Ac 0.0000 0.2712 0.7288
2 Ac 0.0000 0.7288 0.2712
3 Ac 0.1664 0.4900 0.4900
4 Ac 0.2712 0.0000 0.7288
5 Ac 0.2712 0.7288 0.0000
6 Ac 0.4900 0.1664 0.4900
7 Ac 0.4900 0.4900 0.1664
8 Ac 0.5100 0.5100 0.8336
9 Ac 0.5100 0.8336 0.5100
10 Ac 0.7288 0.0000 0.2712
11 Ac 0.7288 0.2712 0.0000
12 Ac 0.8336 0.5100 0.5100
13 Nd 0.0000 0.0000 0.0000
14 Pb 0.1341 0.1341 0.4410
15 Pb 0.1341 0.4410 0.1341
16 Pb 0.4410 0.1341 0.1341
17 Pb 0.5000 0.5000 0.5000
18 Pb 0.5590 0.8659 0.8659
19 Pb 0.8659 0.5590 0.8659
20 Pb 0.8659 0.8659 0.5590

---

Record 8
Compound: Zr6Zn3Co
Source: the Alexandria database
Functional: PBE
Structure: optimized geometry

Summary:
SG: P2_1/c (14)
Energy of formation from the pure elements in eV/atom: -0.053

Lattice parameters (Å, degrees): 5.3444 7.8554 10.8897 90.00 118.07 90.00
Element x y z (fractional)
1 Zr 0.0444 0.1650 0.4463
2 Zr 0.0444 0.3350 0.9463
3 Zr 0.3566 0.6848 0.4386
4 Zr 0.3566 0.8152 0.9386
5 Zr 0.4072 0.0517 0.2636
6 Zr 0.4072 0.4483 0.7636
7 Zr 0.5928 0.5517 0.2364
8 Zr 0.5928 0.9483 0.7364
9 Zr 0.6434 0.1848 0.0614
10 Zr 0.6434 0.3152 0.5614
11 Zr 0.9556 0.6650 0.0537
12 Zr 0.9556 0.8350 0.5537
13 Zn 0.0000 0.0000 0.0000
14 Zn 0.0000 0.5000 0.5000
15 Zn 0.1391 0.1161 0.7556
16 Zn 0.1391 0.3839 0.2556
17 Zn 0.8609 0.6161 0.7444
18 Zn 0.8609 0.8839 0.2444
19 Co 0.5000 0.0000 0.5000
20 Co 0.5000 0.5000 0.0000

---

Record 9
Compound: Cr2IrRh8
Source: the Alexandria database
Functional: PBE
Structure: optimized geometry

Summary:
SG: C2/m (12)
Energy of formation from the pure elements in eV/atom: 0.148

Lattice parameters (Å, degrees): 7.4558 7.4558 4.6441 105.92 105.92 39.80
Element x y z (fractional)
1 Cr 0.2377 0.2377 0.3730
2 Cr 0.7623 0.7623 0.6270
3 Ir 0.5000 0.5000 0.0000
4 Rh 0.0880 0.0880 0.9710
5 Rh 0.1491 0.6458 0.5035
6 Rh 0.3015 0.3015 0.9386
7 Rh 0.3542 0.8509 0.4965
8 Rh 0.6458 0.1491 0.5035
9 Rh 0.6985 0.6985 0.0614
10 Rh 0.8509 0.3542 0.4965
11 Rh 0.9120 0.9120 0.0290

---

Record 10
Compound: SmTm2Tl2
Source: the Alexandria database
Functional: PBE
Structure: optimized geometry

Summary:
SG: P2_1/m (11)
Energy of formation from the pure elements in eV/atom: -0.265

Lattice parameters (Å, degrees): 3.7648 5.4072 14.0435 90.00 97.72 90.00
Element x y z (fractional)
1 Sm 0.1471 0.2500 0.2971
2 Sm 0.8529 0.7500 0.7029
3 Tm 0.0497 0.7500 0.0999
4 Tm 0.2377 0.7500 0.4756
5 Tm 0.7623 0.2500 0.5244
6 Tm 0.9503 0.2500 0.9001
7 Tl 0.3559 0.2500 0.7098
8 Tl 0.4527 0.7500 0.9072
9 Tl 0.5473 0.2500 0.0928
10 Tl 0.6441 0.7500 0.2902

---

Record 11
Compound: Dy2Er2Th3
Source: the Alexandria database
Functional: PBE
Structure: optimized geometry

Summary:
SG: C2/m (12)
Energy of formation from the pure elements in eV/atom: 0.226

Lattice parameters (Å, degrees): 14.4025 3.5727 11.5286 90.00 126.90 90.00
Element x y z (fractional)
1 Dy 0.2431 0.0000 0.3666
2 Dy 0.2569 0.5000 0.6334
3 Dy 0.7431 0.5000 0.3666
4 Dy 0.7569 0.0000 0.6334
5 Er 0.2392 0.5000 0.1092
6 Er 0.2608 0.0000 0.8908
7 Er 0.7392 0.0000 0.1092
8 Er 0.7608 0.5000 0.8908
9 Th 0.0000 0.0000 0.0000
10 Th 0.0017 0.5000 0.7303
11 Th 0.4983 0.0000 0.2697
12 Th 0.5000 0.5000 0.0000
13 Th 0.5017 0.0000 0.7303
14 Th 0.9983 0.5000 0.2697

---

Record 12
Compound: Ti2CoRu
Source: the Alexandria database
Functional: PBE
Structure: optimized geometry

Summary:
SG: I-42d (122)
Energy of formation from the pure elements in eV/atom: -0.008

Lattice parameters (Å, degrees): 6.5717 6.5717 5.4760 90.00 90.00 90.00
Element x y z (fractional)
1 Ti 0.2363 0.2500 0.1250
2 Ti 0.2500 0.7363 0.3750
3 Ti 0.2500 0.7637 0.8750
4 Ti 0.2637 0.2500 0.6250
5 Ti 0.7363 0.7500 0.6250
6 Ti 0.7500 0.2363 0.8750
7 Ti 0.7500 0.2637 0.3750
8 Ti 0.7637 0.7500 0.1250
9 Co 0.0000 0.0000 0.0000
10 Co 0.0000 0.5000 0.2500
11 Co 0.5000 0.0000 0.7500
12 Co 0.5000 0.5000 0.5000
13 Ru 0.0000 0.0000 0.5000
14 Ru 0.0000 0.5000 0.7500
15 Ru 0.5000 0.0000 0.2500
16 Ru 0.5000 0.5000 0.0000

---

Record 13
Compound: NaAl2In2
Source: the Alexandria database
Functional: PBE
Structure: optimized geometry

Summary:
SG: P4/mbm (127)
Energy of formation from the pure elements in eV/atom: 0.086

Lattice parameters (Å, degrees): 8.4347 8.4347 3.3190 90.00 90.00 90.00
Element x y z (fractional)
1 Na 0.0000 0.0000 0.0000
2 Na 0.5000 0.5000 0.0000
3 Al 0.1208 0.3792 0.0000
4 Al 0.3792 0.8792 0.0000
5 Al 0.6208 0.1208 0.0000
6 Al 0.8792 0.6208 0.0000
7 In 0.1728 0.6728 0.5000
8 In 0.3272 0.1728 0.5000
9 In 0.6728 0.8272 0.5000
10 In 0.8272 0.3272 0.5000

---

Record 14
Compound: Ga3Cu2Pd8
Source: the Alexandria database
Functional: PBE
Structure: optimized geometry

Summary:
SG: R-3m (166)
Energy of formation from the pure elements in eV/atom: -0.040

Lattice parameters (Å, degrees): 9.5433 9.5433 9.5433 32.08 32.08 32.08
Element x y z (fractional)
1 Ga 0.0000 0.0000 0.0000
2 Ga 0.1892 0.1892 0.1892
3 Ga 0.8108 0.8108 0.8108
4 Cu 0.3693 0.3693 0.3693
5 Cu 0.6307 0.6307 0.6307
6 Pd 0.2208 0.7201 0.7201
7 Pd 0.2786 0.2786 0.2786
8 Pd 0.2799 0.2799 0.7792
9 Pd 0.2799 0.7792 0.2799
10 Pd 0.7201 0.2208 0.7201
11 Pd 0.7201 0.7201 0.2208
12 Pd 0.7214 0.7214 0.7214
13 Pd 0.7792 0.2799 0.2799

---

Record 15
Compound: Te2AuI8
Source: the Alexandria database
Functional: PBE
Structure: optimized geometry

Summary:
SG: C2/m (12)
ΔE_f (raw) in eV per atom: 0.01

Lattice parameters (Å, degrees): 9.0149 9.0149 8.7198 90.78 90.78 64.67
Element x y z (fractional)
1 Te 0.2093 0.2093 0.0993
2 Te 0.7907 0.7907 0.9007
3 Au 0.0000 0.0000 0.5000
4 I 0.1138 0.7197 0.6572
5 I 0.2803 0.8862 0.3428
6 I 0.2815 0.2815 0.8081
7 I 0.3568 0.3568 0.2762
8 I 0.6432 0.6432 0.7238
9 I 0.7185 0.7185 0.1919
10 I 0.7197 0.1138 0.6572
11 I 0.8862 0.2803 0.3428

---

| no. | final energy (eV for the cell shown) |
| --- | --- |
| 1 | -56.5 |
| 2 | -77.7 |
| 3 | -14.6 |
| 4 | -190.0 |
| 5 | -220.6 |
| 6 | -47.8 |
| 7 | -85.4 |
| 8 | -125.5 |
| 9 | -85.3 |
| 10 | -39.4 |
| 11 | -78.0 |
| 12 | -128.8 |
| 13 | -27.7 |
| 14 | -59.3 |
| 15 | -21.9 |